# ScCd2Fe (PBE-GGA, optimized geometry)
# calculated total energy = -16.37 eV for the cell shown
# volume = 19.05 Å³ per atom
# energy of formation from the pure elements = 0.063 eV/atom
# Fermi-level density of states = 3.216 states/eV/f.u.
data_ScCd2Fe
_symmetry_space_group_name_H-M 'P 4/m m m'
_symmetry_Int_Tables_number 123
_symmetry_space_group_name_Hall '-P 4 2'
_cell_length_a 4.1699
_cell_length_b 4.1699
_cell_length_c 4.3818
_cell_angle_alpha 90.00
_cell_angle_beta 90.00
_cell_angle_gamma 90.00
loop_
_atom_site_label
_atom_site_type_symbol
_atom_site_fract_x
_atom_site_fract_y
_atom_site_fract_z
_atom_site_occupancy
Sc1 Sc 0.0000 0.0000 0.0000 1
Cd1 Cd 0.0000 0.5000 0.5000 1
Fe1 Fe 0.5000 0.5000 0.0000 1

# CrSi2Ru (PBE-GGA, optimized geometry)
# calculated total energy = -89.50 eV for the cell shown
# volume = 13.21 Å³ per atom
# ΔE_f (raw) = -22 meV/atom
# Fermi-level density of states = 2.955 states/eV/f.u.
data_CrSi2Ru
_symmetry_space_group_name_H-M 'R 3 m'
_symmetry_Int_Tables_number 160
_symmetry_space_group_name_Hall 'R 3 -2"'
_cell_length_a 2.8148
_cell_length_b 2.8148
_cell_length_c 23.1035
_cell_angle_alpha 90.00
_cell_angle_beta 90.00
_cell_angle_gamma 120.00
loop_
_atom_site_label
_atom_site_type_symbol
_atom_site_fract_x
_atom_site_fract_y
_atom_site_fract_z
_atom_site_occupancy
Cr1 Cr 0.0000 0.0000 0.0000 1
Si1 Si 0.0000 0.0000 0.5001 1
Si2 Si 0.0000 0.0000 0.7460 1
Ru1 Ru 0.0000 0.0000 0.2466 1

# TiAs2 (PBE-GGA, optimized geometry)
# calculated total energy = -146.03 eV for the cell shown
# volume = 19.32 Å³ per atom
# energy of formation from the pure elements = -0.353 eV/atom
# Fermi-level density of states = 1.457 states/eV/f.u.
data_TiAs2
_symmetry_space_group_name_H-M 'P n n m'
_symmetry_Int_Tables_number 58
_symmetry_space_group_name_Hall '-P 2 2n'
_cell_length_a 8.4541
_cell_length_b 15.5819
_cell_length_c 3.5202
_cell_angle_alpha 90.00
_cell_angle_beta 90.00
_cell_angle_gamma 90.00
loop_
_atom_site_label
_atom_site_type_symbol
_atom_site_fract_x
_atom_site_fract_y
_atom_site_fract_z
_atom_site_occupancy
Ti1 Ti 0.0799 0.2252 0.0000 1
Ti2 Ti 0.1623 0.5271 0.5000 1
As1 As 0.0462 0.4065 0.0000 1
As2 As 0.1109 0.9158 0.0000 1
As3 As 0.1383 0.1033 0.5000 1
As4 As 0.2171 0.7653 0.0000 1

# Rb2HfI6F (PBE-GGA, optimized geometry)
# calculated total energy = -68.40 eV for the cell shown
# volume = 41.36 Å³ per atom
# ΔE_f (raw) = -1114 meV/atom
# Fermi-level density of states = 2.937 states/eV/f.u.
data_Rb2HfI6F
_symmetry_space_group_name_H-M 'I 4/m m m'
_symmetry_Int_Tables_number 139
_symmetry_space_group_name_Hall '-I 4 2'
_cell_length_a 8.7991
_cell_length_b 8.7991
_cell_length_c 10.6829
_cell_angle_alpha 90.00
_cell_angle_beta 90.00
_cell_angle_gamma 90.00
loop_
_atom_site_label
_atom_site_type_symbol
_atom_site_fract_x
_atom_site_fract_y
_atom_site_fract_z
_atom_site_occupancy
Rb1 Rb 0.0000 0.5000 0.2500 1
Hf1 Hf 0.0000 0.0000 0.0000 1
I1 I 0.0000 0.0000 0.2683 1
I2 I 0.2296 0.2296 0.0000 1
F1 F 0.0000 0.0000 0.5000 1

# Ba2ScCr (PBE-GGA, optimized geometry)
# calculated total energy = -17.18 eV for the cell shown
# volume = 37.72 Å³ per atom
# energy of formation from the pure elements = 0.655 eV/atom
# Fermi-level density of states = 4.712 states/eV/f.u.
data_Ba2ScCr
_symmetry_space_group_name_H-M 'P 4/m m m'
_symmetry_Int_Tables_number 123
_symmetry_space_group_name_Hall '-P 4 2'
_cell_length_a 3.9870
_cell_length_b 3.9870
_cell_length_c 9.4910
_cell_angle_alpha 90.00
_cell_angle_beta 90.00
_cell_angle_gamma 90.00
loop_
_atom_site_label
_atom_site_type_symbol
_atom_site_fract_x
_atom_site_fract_y
_atom_site_fract_z
_atom_site_occupancy
Ba1 Ba 0.0000 0.0000 0.2275 1
Sc1 Sc 0.5000 0.5000 0.5000 1
Cr1 Cr 0.5000 0.5000 0.0000 1

# CeDy2Zr (PBE-GGA, optimized geometry)
# calculated total energy = -67.49 eV for the cell shown
# volume = 28.31 Å³ per atom
# energy of formation from the pure elements = 0.297 eV/atom
# Fermi-level density of states = 5.474 states/eV/f.u.
data_CeDy2Zr
_symmetry_space_group_name_H-M 'R -3 m'
_symmetry_Int_Tables_number 166
_symmetry_space_group_name_Hall '-R 3 2"'
_cell_length_a 3.3174
_cell_length_b 3.3174
_cell_length_c 35.6417
_cell_angle_alpha 90.00
_cell_angle_beta 90.00
_cell_angle_gamma 120.00
loop_
_atom_site_label
_atom_site_type_symbol
_atom_site_fract_x
_atom_site_fract_y
_atom_site_fract_z
_atom_site_occupancy
Ce1 Ce 0.0000 0.0000 0.0000 1
Dy1 Dy 0.0000 0.0000 0.4125 1
Zr1 Zr 0.0000 0.0000 0.5000 1

Number 6 is which compound?
CeDy2Zr